# 1
Here is crystalline HfB2Mo at its relaxed geometry from Alexandria via LeMat-Bulk. Energies are from GGA-PBE.

The calculated formation energy comes out at 16 kJ per mole of atoms.

The space group is Fm-3m (No. 225) and the conventional cell measures 5.769, 5.769 and 5.769 Å, with angles of 90.00, 90.00 and 90.00 degrees. The distinct sites, in fractional coordinates, are Hf at (0.000, 0.000, 0.000), B at (0.250, 0.250, 0.250) and Mo at (0.000, 0.000, 0.500).


# 2
Here is crystalline Hf2BMo at its relaxed geometry from Alexandria via LeMat-Bulk. Energies are from GGA-PBE.

The calculated formation energy comes out at 28 kJ per mole of atoms.

The space group is I-42d (No. 122) and the conventional cell measures 8.338, 8.338 and 4.267 Å, with angles of 90.00, 90.00 and 90.00 degrees. The distinct sites, in fractional coordinates, are Hf at (0.115, 0.750, 0.125), B at (0.000, 0.000, 0.000) and Mo at (0.000, 0.000, 0.500).


# 3
Here is crystalline HfB2Mo at its relaxed geometry from Alexandria via LeMat-Bulk. Energies are from GGA-PBE.

The calculated formation energy comes out at -70 kJ per mole of atoms.

The space group is Pmc2_1 (No. 26) and the conventional cell measures 3.174, 4.753 and 6.139 Å, with angles of 90.00, 90.00 and 90.00 degrees. The distinct sites, in fractional coordinates, are Hf at (0.000, 0.130, 0.000), B at (0.000, 0.355, 0.362), B at (0.500, 0.169, 0.304) and Mo at (0.500, 0.381, 0.650).


# 4
Here is crystalline Hf2B2Mo at its relaxed geometry from Alexandria via LeMat-Bulk. Energies are from GGA-PBE.

The calculated formation energy comes out at -57 kJ per mole of atoms.

The space group is Immm (No. 71) and the conventional cell measures 3.354, 5.186 and 7.748 Å, with angles of 90.00, 90.00 and 90.00 degrees. The distinct sites, in fractional coordinates, are Hf at (0.000, 0.000, 0.214), B at (0.000, 0.325, 0.500) and Mo at (0.000, 0.500, 0.000).


# 5
Here is crystalline Hf9BMo4 at its relaxed geometry from Alexandria via LeMat-Bulk. Energies are from GGA-PBE.

The calculated formation energy comes out at -18 kJ per mole of atoms.

The space group is P6_3/mmc (No. 194) and the conventional cell measures 8.5505, 8.5505 and 8.5252 Å, with angles of 90.00, 90.00 and 120.00 degrees. The distinct sites, in fractional coordinates, are Hf at (0.0804, 0.5402, 0.2500), Hf at (0.2036, 0.4072, 0.5553), B at (0.3333, 0.6667, 0.7500), Mo at (0.0000, 0.0000, 0.0000) and Mo at (0.1114, 0.2228, 0.2500).


# 6
Here is crystalline HfB4Mo at its relaxed geometry from Alexandria via LeMat-Bulk. Energies are from GGA-PBE.

The calculated formation energy comes out at -64 kJ per mole of atoms.

The space group is Pmmm (No. 47) and the conventional cell measures 3.091, 3.422 and 5.327 Å, with angles of 90.00, 90.00 and 90.00 degrees. The distinct sites, in fractional coordinates, are Hf at (0.000, 0.000, 0.000), B at (0.000, 0.500, 0.337), B at (0.500, 0.500, 0.171) and Mo at (0.500, 0.000, 0.500).


# 7
Here is crystalline Hf3BMo at its relaxed geometry from Alexandria via LeMat-Bulk. Energies are from GGA-PBE.

The calculated formation energy comes out at 9 kJ per mole of atoms.

The space group is Pm-3m (No. 221) and the conventional cell measures 4.534, 4.534 and 4.534 Å, with angles of 90.00, 90.00 and 90.00 degrees. The distinct sites, in fractional coordinates, are Hf at (0.000, 0.000, 0.500), B at (0.000, 0.000, 0.000) and Mo at (0.500, 0.500, 0.500).


# 8
Here is crystalline Hf9B2Mo3 at its relaxed geometry from Alexandria via LeMat-Bulk. Energies are from GGA-PBE.

The calculated formation energy comes out at -12 kJ per mole of atoms.

The space group is P6_3/mmc (No. 194) and the conventional cell measures 8.3976, 8.3976 and 8.4434 Å, with angles of 90.00, 90.00 and 120.00 degrees. The distinct sites, in fractional coordinates, are Hf at (0.0825, 0.5412, 0.2500), Hf at (0.2005, 0.4009, 0.5555), B at (0.0000, 0.0000, 0.0000), B at (0.3333, 0.6667, 0.7500) and Mo at (0.1082, 0.2165, 0.2500).


# 9
Here is crystalline HfBMo3 at its relaxed geometry from Alexandria via LeMat-Bulk. Energies are from GGA-PBE.

The calculated formation energy comes out at 6 kJ per mole of atoms.

The space group is Pm-3m (No. 221) and the conventional cell measures 4.287, 4.287 and 4.287 Å, with angles of 90.00, 90.00 and 90.00 degrees. The distinct sites, in fractional coordinates, are Hf at (0.000, 0.000, 0.000), B at (0.500, 0.500, 0.500) and Mo at (0.000, 0.500, 0.500).


# 10
Here is crystalline HfB2Mo at its relaxed geometry from Alexandria via LeMat-Bulk. Energies are from GGA-PBE.

The calculated formation energy comes out at 49 kJ per mole of atoms.

The space group is I-42d (No. 122) and the conventional cell measures 5.047, 5.047 and 9.991 Å, with angles of 90.00, 90.00 and 90.00 degrees. The distinct sites, in fractional coordinates, are Hf at (0.000, 0.000, 0.000), B at (0.210, 0.250, 0.625) and Mo at (0.000, 0.000, 0.500).


# 11
Here is crystalline HfB2Mo at its relaxed geometry from Alexandria via LeMat-Bulk. Energies are from GGA-PBE.

The calculated formation energy comes out at -46 kJ per mole of atoms.

The space group is R-3m (No. 166, hexagonal axes) and the conventional cell measures 3.2582, 3.2582 and 16.1370 Å, with angles of 90.00, 90.00 and 120.00 degrees. The distinct sites, in fractional coordinates, are Hf at (0.0000, 0.0000, 0.0000), B at (0.0000, 0.0000, 0.2431) and Mo at (0.0000, 0.0000, 0.5000).


# 12
Here is crystalline HfB2Mo at its relaxed geometry from Alexandria via LeMat-Bulk. Energies are from GGA-PBE.

The calculated formation energy comes out at -71 kJ per mole of atoms.

The space group is Amm2 (No. 38) and the conventional cell measures 3.171, 3.276 and 8.884 Å, with angles of 90.00, 90.00 and 90.00 degrees. The distinct sites, in fractional coordinates, are Hf at (0.000, 0.000, 0.000), B at (0.000, 0.000, 0.291), B at (0.500, 0.000, 0.399) and Mo at (0.500, 0.000, 0.711).


Question: The highest calculated formation energy belongs to which entry?
Answer: number 10


Question: Among the records above, which one has the highest calculated formation energy?
Answer: number 10


Please write out number 3 again, unchanged.
Here is crystalline HfB2Mo at its relaxed geometry from Alexandria via LeMat-Bulk. Energies are from GGA-PBE.

The calculated formation energy comes out at -70 kJ per mole of atoms.

The space group is Pmc2_1 (No. 26) and the conventional cell measures 3.174, 4.753 and 6.139 Å, with angles of 90.00, 90.00 and 90.00 degrees. The distinct sites, in fractional coordinates, are Hf at (0.000, 0.130, 0.000), B at (0.000, 0.355, 0.362), B at (0.500, 0.169, 0.304) and Mo at (0.500, 0.381, 0.650).